Below is CrMoOs2 after structural relaxation, with properties calculated at the GGA-PBE level.

Computed properties:
size of the total moment: 0.00 μB/f.u.
V: 14.31 A^3/atom
total DFT energy (no corrections): -41.59 eV for the cell shown

Cell: 4.325 4.325 4.325 Å, 60.00 60.00 60.00°
Element x y z (fractional)
Os 0.750 0.750 0.750
Cr 0.000 0.000 0.000
Os 0.250 0.250 0.250
Mo 0.500 0.500 0.500

Below is CrMoOs2 after structural relaxation, with properties calculated at the GGA-PBE level.

Computed properties:
size of the total moment: 0.00 μB/f.u.
V: 14.31 A^3/atom
total DFT energy (no corrections): -42.01 eV for the cell shown

Cell: 9.068 9.068 9.068 Å, 17.25 17.25 17.25°
Element x y z (fractional)
Mo 0.751 0.751 0.751
Os 0.001 0.001 0.001
Cr 0.503 0.503 0.503
Os 0.245 0.245 0.245

Number 1: energy of formation 332 meV per atom, relative energy among the computed polymorphs 251 meV/atom. Number 2: energy of formation 225 meV per atom, relative energy among the computed polymorphs 144 meV/atom.